Entry 1:
Compound: Tb2PrY5Sc
Source: the Alexandria database
Functional: PBE-GGA
Structure: relaxed

Summary:
formation energy: 0.17 eV/atom
total DFT energy (no corrections): -102.376 eV for the cell shown
crystal system: orthorhombic

Lattice parameters (Å, degrees): 10.353 10.353 10.403 90.00 90.00 148.62
Fractional coordinates of all 18 atoms:
Tb 0.111 0.889 0.500
Tb 0.115 0.885 0.920
Tb 0.885 0.115 0.420
Tb 0.889 0.111 0.000
Pr 0.412 0.588 0.635
Pr 0.588 0.412 0.135
Y 0.018 0.982 0.204
Y 0.273 0.727 0.517
Y 0.297 0.703 0.889
Y 0.371 0.629 0.207
Y 0.480 0.520 0.923
Y 0.520 0.480 0.423
Y 0.629 0.371 0.707
Y 0.703 0.297 0.389
Y 0.727 0.273 0.017
Y 0.982 0.018 0.704
Sc 0.193 0.807 0.202
Sc 0.807 0.193 0.702

=====

Entry 2:
Compound: TiAlH
Source: the Alexandria database
Functional: PBE-GGA
Structure: relaxed

Summary:
total DFT energy (no corrections): -63.507 eV for the cell shown
crystal system: orthorhombic
energy above the most stable polymorph in this dataset: 85 meV per atom

Lattice parameters (Å, degrees): 6.652 3.820 5.354 90.00 90.00 90.00
Fractional coordinates of all 12 atoms:
Ti 0.168 0.250 0.122
Ti 0.332 0.750 0.622
Ti 0.668 0.250 0.378
Ti 0.832 0.750 0.878
Al 0.043 0.250 0.639
Al 0.457 0.750 0.139
Al 0.543 0.250 0.861
Al 0.957 0.750 0.361
H 0.120 0.750 0.977
H 0.380 0.250 0.477
H 0.620 0.750 0.523
H 0.880 0.250 0.023

=====

Entry 3:
Compound: SrHg3Pb3
Source: the Alexandria database
Functional: PBE-GGA
Structure: relaxed

Summary:
formation energy: 0.14 eV/atom
total DFT energy (no corrections): -25.447 eV for the cell shown
crystal system: cubic
energy above the most stable polymorph in this dataset: 306 meV per atom

Lattice parameters (Å, degrees): 8.211 8.211 8.211 90.00 90.00 90.00
Fractional coordinates of all 14 atoms:
Sr 0.000 0.000 0.000
Sr 0.500 0.500 0.500
Hg 0.000 0.250 0.500
Hg 0.000 0.750 0.500
Hg 0.250 0.500 0.000
Hg 0.500 0.000 0.250
Hg 0.500 0.000 0.750
Hg 0.750 0.500 0.000
Pb 0.000 0.500 0.250
Pb 0.000 0.500 0.750
Pb 0.250 0.000 0.500
Pb 0.500 0.250 0.000
Pb 0.500 0.750 0.000
Pb 0.750 0.000 0.500

=====

Entry 4:
Compound: Ba3BiPd8
Source: the Alexandria database
Functional: PBE-GGA
Structure: relaxed

Summary:
formation energy: -0.45 eV/atom
total DFT energy (no corrections): -56.549 eV for the cell shown
crystal system: trigonal

Lattice parameters (Å, degrees): 9.755 9.755 9.755 34.31 34.31 34.31
Fractional coordinates of all 12 atoms:
Ba 0.000 0.000 0.000
Ba 0.128 0.128 0.128
Ba 0.616 0.616 0.616
Bi 0.485 0.485 0.485
Pd 0.063 0.063 0.560
Pd 0.063 0.560 0.063
Pd 0.063 0.565 0.565
Pd 0.313 0.313 0.313
Pd 0.560 0.063 0.063
Pd 0.565 0.063 0.565
Pd 0.565 0.565 0.063
Pd 0.814 0.814 0.814

=====

Entry 5:
Compound: V2GePd
Source: the Alexandria database
Functional: PBE-GGA
Structure: relaxed

Summary:
formation energy: -0.26 eV/atom
total DFT energy (no corrections): -29.069 eV for the cell shown
crystal system: tetragonal

Lattice parameters (Å, degrees): 3.696 3.696 4.126 90.00 90.00 90.00
Fractional coordinates of all 4 atoms:
V 0.000 0.500 0.000
V 0.500 0.000 0.000
Ge 0.000 0.000 0.500
Pd 0.500 0.500 0.500

=====

Entry 6:
Compound: TmAg2Au
Source: the Alexandria database
Functional: PBE-GGA
Structure: relaxed

Summary:
formation energy: -0.38 eV/atom
total DFT energy (no corrections): -29.925 eV for the cell shown
crystal system: orthorhombic
energy above the most stable polymorph in this dataset: 31 meV per atom

Lattice parameters (Å, degrees): 5.430 5.430 8.090 90.00 90.00 135.09
Fractional coordinates of all 8 atoms:
Tm 0.057 0.943 0.750
Tm 0.943 0.057 0.250
Ag 0.369 0.631 0.557
Ag 0.369 0.631 0.943
Ag 0.631 0.369 0.057
Ag 0.631 0.369 0.443
Au 0.239 0.761 0.250
Au 0.761 0.239 0.750

=====

Entry 7:
Compound: Sc3Ni8Ag
Source: the Alexandria database
Functional: PBE-GGA
Structure: relaxed

Summary:
formation energy: -0.43 eV/atom
total DFT energy (no corrections): -73.255 eV for the cell shown
crystal system: trigonal

Lattice parameters (Å, degrees): 8.429 8.429 8.429 33.54 33.54 33.54
Fractional coordinates of all 12 atoms:
Sc 0.000 0.000 0.000
Sc 0.129 0.129 0.129
Sc 0.512 0.512 0.512
Ni 0.068 0.068 0.564
Ni 0.068 0.564 0.068
Ni 0.070 0.569 0.569
Ni 0.318 0.318 0.318
Ni 0.564 0.068 0.068
Ni 0.569 0.070 0.569
Ni 0.569 0.569 0.070
Ni 0.818 0.818 0.818
Ag 0.633 0.633 0.633

=====

Entry 8:
Compound: MgCoPd6
Source: the Alexandria database
Functional: PBE-GGA
Structure: relaxed

Summary:
formation energy: -0.21 eV/atom
total DFT energy (no corrections): -41.511 eV for the cell shown
crystal system: tetragonal

Lattice parameters (Å, degrees): 3.910 3.910 7.871 90.00 90.00 90.00
Fractional coordinates of all 8 atoms:
Mg 0.000 0.000 0.000
Co 0.000 0.000 0.500
Pd 0.000 0.500 0.259
Pd 0.000 0.500 0.741
Pd 0.500 0.000 0.259
Pd 0.500 0.000 0.741
Pd 0.500 0.500 0.000
Pd 0.500 0.500 0.500

=====

Entry 9:
Compound: Li2LaTc
Source: the Alexandria database
Functional: PBE-GGA
Structure: relaxed

Summary:
formation energy: 0.32 eV/atom
total DFT energy (no corrections): -17.856 eV for the cell shown
crystal system: orthorhombic
energy above the most stable polymorph in this dataset: 83 meV per atom

Lattice parameters (Å, degrees): 3.420 4.425 5.278 90.00 90.00 90.00
Fractional coordinates of all 4 atoms:
Li 0.000 0.000 0.000
Li 0.500 0.500 0.000
La 0.000 0.500 0.500
Tc 0.500 0.000 0.500

=====

Entry 10:
Compound: Rb3Nd3ReS8
Source: the Alexandria database
Functional: PBE-GGA
Structure: relaxed

Summary:
uncorrected formation energy: -1.420 eV/atom
total DFT energy (no corrections): -83.977 eV for the cell shown
crystal system: trigonal

Lattice parameters (Å, degrees): 9.151 9.151 9.151 52.71 52.71 52.71
Fractional coordinates of all 15 atoms:
Rb 0.000 0.500 0.500
Rb 0.500 0.000 0.500
Rb 0.500 0.500 0.000
Nd 0.000 0.000 0.500
Nd 0.000 0.500 0.000
Nd 0.500 0.000 0.000
Re 0.500 0.500 0.500
S 0.233 0.233 0.233
S 0.266 0.707 0.707
S 0.293 0.293 0.734
S 0.293 0.734 0.293
S 0.707 0.266 0.707
S 0.707 0.707 0.266
S 0.734 0.293 0.293
S 0.767 0.767 0.767

=====

Entry 11:
Compound: Ho3Tm2Cd2
Source: the Alexandria database
Functional: PBE-GGA
Structure: relaxed

Summary:
formation energy: -0.15 eV/atom
total DFT energy (no corrections): -25.544 eV for the cell shown
crystal system: trigonal
energy above the most stable polymorph in this dataset: 0 meV per atom

Lattice parameters (Å, degrees): 8.450 8.450 8.450 36.72 36.72 36.72
Fractional coordinates of all 7 atoms:
Ho 0.000 0.000 0.000
Ho 0.157 0.157 0.157
Ho 0.843 0.843 0.843
Tm 0.426 0.426 0.426
Tm 0.574 0.574 0.574
Cd 0.289 0.289 0.289
Cd 0.711 0.711 0.711

=====

Entry 12:
Compound: NdMg4Ga4
Source: the Alexandria database
Functional: PBE-GGA
Structure: relaxed

Summary:
formation energy: -0.19 eV/atom
total DFT energy (no corrections): -49.912 eV for the cell shown
crystal system: tetragonal

Lattice parameters (Å, degrees): 6.610 6.610 9.031 90.00 90.00 90.00
Fractional coordinates of all 18 atoms:
Nd 0.250 0.750 0.250
Nd 0.750 0.250 0.750
Mg 0.008 0.250 0.147
Mg 0.250 0.008 0.647
Mg 0.250 0.492 0.647
Mg 0.492 0.250 0.147
Mg 0.508 0.750 0.853
Mg 0.750 0.508 0.353
Mg 0.750 0.992 0.353
Mg 0.992 0.750 0.853
Ga 0.052 0.250 0.450
Ga 0.250 0.052 0.950
Ga 0.250 0.448 0.950
Ga 0.448 0.250 0.450
Ga 0.552 0.750 0.550
Ga 0.750 0.552 0.050
Ga 0.750 0.948 0.050
Ga 0.948 0.750 0.550

=====

Entry 13:
Compound: AgTe2
Source: the Alexandria database
Functional: PBE-GGA
Structure: relaxed

Summary:
uncorrected formation energy: 0.146 eV/atom
total DFT energy (no corrections): -17.394 eV for the cell shown
crystal system: orthorhombic

Lattice parameters (Å, degrees): 9.997 9.997 4.006 90.00 90.00 155.61
Fractional coordinates of all 6 atoms:
Ag 0.106 0.894 0.750
Ag 0.894 0.106 0.250
Te 0.293 0.707 0.250
Te 0.436 0.564 0.750
Te 0.564 0.436 0.250
Te 0.707 0.293 0.750

=====

Entry 14:
Compound: YIn2Ir
Source: the Alexandria database
Functional: PBE-GGA
Structure: relaxed

Summary:
formation energy: -0.37 eV/atom
total DFT energy (no corrections): -22.265 eV for the cell shown
crystal system: monoclinic

Lattice parameters (Å, degrees): 4.188 3.671 6.596 90.00 108.33 90.00
Fractional coordinates of all 4 atoms:
Y 0.000 0.000 0.000
In 0.335 0.500 0.669
In 0.720 0.000 0.440
Ir 0.552 0.500 0.105

=====

Entry 15:
Compound: ZnIn2Ag
Source: the Alexandria database
Functional: PBE-GGA
Structure: relaxed

Summary:
formation energy: 0.03 eV/atom
total DFT energy (no corrections): -9.469 eV for the cell shown
crystal system: trigonal

Lattice parameters (Å, degrees): 9.056 9.056 9.056 21.27 21.27 21.27
Fractional coordinates of all 4 atoms:
Zn 0.000 0.000 0.000
In 0.251 0.251 0.251
In 0.749 0.749 0.749
Ag 0.500 0.500 0.500

=====

Entry 16:
Compound: Er3Co8Sn4
Source: the Alexandria database
Functional: PBE-GGA
Structure: relaxed

Summary:
formation energy: -0.30 eV/atom
total DFT energy (no corrections): -182.241 eV for the cell shown
crystal system: hexagonal

Lattice parameters (Å, degrees): 8.871 8.871 7.407 90.00 90.00 120.00
Fractional coordinates of all 30 atoms:
Er 0.061 0.530 0.000
Er 0.470 0.530 0.000
Er 0.470 0.939 0.000
Er 0.530 0.061 0.500
Er 0.530 0.470 0.500
Er 0.939 0.470 0.500
Co 0.000 0.000 0.278
Co 0.000 0.000 0.778
Co 0.098 0.197 0.023
Co 0.098 0.902 0.023
Co 0.160 0.320 0.331
Co 0.160 0.840 0.331
Co 0.197 0.098 0.523
Co 0.320 0.160 0.831
Co 0.333 0.667 0.720
Co 0.667 0.333 0.220
Co 0.680 0.840 0.331
Co 0.803 0.902 0.023
Co 0.840 0.160 0.831
Co 0.840 0.680 0.831
Co 0.902 0.098 0.523
Co 0.902 0.803 0.523
Sn 0.172 0.344 0.702
Sn 0.172 0.828 0.702
Sn 0.333 0.667 0.337
Sn 0.344 0.172 0.202
Sn 0.656 0.828 0.702
Sn 0.667 0.333 0.837
Sn 0.828 0.172 0.202
Sn 0.828 0.656 0.202

=====

Entry 17:
Compound: NaSbTe2I
Source: the Alexandria database
Functional: PBE-GGA
Structure: relaxed

Summary:
uncorrected formation energy: 0.593 eV/atom
total DFT energy (no corrections): -10.311 eV for the cell shown
crystal system: tetragonal
energy above the most stable polymorph in this dataset: 704 meV per atom

Lattice parameters (Å, degrees): 5.384 5.384 6.057 90.00 90.00 90.00
Fractional coordinates of all 5 atoms:
Na 0.000 0.000 0.000
Sb 0.000 0.000 0.500
Te 0.000 0.500 0.000
Te 0.500 0.000 0.000
I 0.500 0.500 0.500

=====

Entry 18:
Compound: AcDyThSn
Source: the Alexandria database
Functional: PBE-GGA
Structure: relaxed

Summary:
formation energy: -0.09 eV/atom
total DFT energy (no corrections): -20.485 eV for the cell shown
crystal system: cubic

Lattice parameters (Å, degrees): 5.616 5.616 5.616 60.00 60.00 60.00
Fractional coordinates of all 4 atoms:
Ac 0.000 0.000 0.000
Dy 0.250 0.250 0.250
Th 0.750 0.750 0.750
Sn 0.500 0.500 0.500

=====

Entry 19:
Compound: Ho2Er2Si3
Source: the Alexandria database
Functional: PBE-GGA
Structure: relaxed

Summary:
uncorrected formation energy: -0.478 eV/atom
total DFT energy (no corrections): -37.899 eV for the cell shown
crystal system: monoclinic

Lattice parameters (Å, degrees): 5.591 5.591 7.930 101.64 101.64 48.37
Fractional coordinates of all 7 atoms:
Ho 0.138 0.138 0.411
Ho 0.862 0.862 0.589
Er 0.371 0.371 0.147
Er 0.629 0.629 0.853
Si 0.293 0.293 0.779
Si 0.500 0.500 0.500
Si 0.707 0.707 0.221

=====

Entry 20:
Compound: YNi5H7
Source: the Alexandria database
Functional: PBE-GGA
Structure: relaxed

Summary:
total DFT energy (no corrections): -61.329 eV for the cell shown
crystal system: monoclinic

Lattice parameters (Å, degrees): 5.009 5.009 4.994 104.52 104.52 114.57
Fractional coordinates of all 13 atoms:
Y 0.000 0.000 0.000
Ni 0.134 0.686 0.365
Ni 0.262 0.579 0.836
Ni 0.579 0.262 0.836
Ni 0.612 0.612 0.387
Ni 0.686 0.134 0.365
H 0.412 0.412 0.016
H 0.480 0.480 0.637
H 0.502 0.985 0.992
H 0.534 0.931 0.557
H 0.931 0.534 0.557
H 0.937 0.937 0.433
H 0.985 0.502 0.992

=====

Entry 21:
Compound: SrPPdPt
Source: the Alexandria database
Functional: PBE-GGA
Structure: relaxed

Summary:
formation energy: -0.84 eV/atom
total DFT energy (no corrections): -21.671 eV for the cell shown
crystal system: orthorhombic

Lattice parameters (Å, degrees): 5.614 5.614 5.614 136.91 134.11 64.76
Fractional coordinates of all 4 atoms:
Sr 0.000 0.000 0.000
P 0.751 0.251 0.500
Pd 0.346 0.346 0.000
Pt 0.641 0.641 0.000

=====

Entry 22:
Compound: CsPuCrN4
Source: the Alexandria database
Functional: PBE-GGA
Structure: relaxed

Summary:
uncorrected formation energy: -0.490 eV/atom
total DFT energy (no corrections): -123.081 eV for the cell shown
crystal system: monoclinic

Lattice parameters (Å, degrees): 5.727 5.713 8.367 90.00 108.58 90.00
Fractional coordinates of all 14 atoms:
Cs 0.206 0.250 0.430
Cs 0.794 0.750 0.570
Pu 0.278 0.250 0.958
Pu 0.722 0.750 0.042
Cr 0.266 0.750 0.144
Cr 0.734 0.250 0.856
N 0.046 0.750 0.950
N 0.061 0.750 0.260
N 0.466 0.513 0.156
N 0.466 0.987 0.156
N 0.534 0.013 0.844
N 0.534 0.487 0.844
N 0.939 0.250 0.740
N 0.954 0.250 0.050